[1]
The following is a DFT calculation (GGA-PBE) of crystalline TcAgP2 at its relaxed geometry.

Lattice parameters (Å, degrees): 2.916 2.916 8.596 90.00 90.00 118.22
Fractional positions:
1 P 0.000 0.000 0.033
2 Tc 0.500 0.500 0.250
3 Ag 0.500 0.500 0.750
4 P 0.000 0.000 0.467

Properties
formation enthalpy at 0 K = 294 meV/atom
spin magnetization = 0.0 μB/f.u.
relative energy among the computed polymorphs = 0.364 eV/atom
crystal system = orthorhombic

=====

[2]
The following is a DFT calculation (GGA-PBE) of crystalline Tc2AgP at its relaxed geometry.

Lattice parameters (Å, degrees): 2.921 4.589 4.503 90.00 90.00 90.00
Fractional positions:
1 Tc 0.500 0.500 0.000
2 P 0.000 0.500 0.500
3 Tc 0.000 0.000 0.000
4 Ag 0.500 0.000 0.500

Properties
formation enthalpy at 0 K = 612 meV/atom
spin magnetization = 0.0 μB/f.u.
crystal system = orthorhombic

=====

[3]
The following is a DFT calculation (GGA-PBE) of crystalline Tc2AgP at its relaxed geometry.

Lattice parameters (Å, degrees): 3.722 3.722 6.586 81.84 81.84 45.03
Fractional positions:
1 Ag 0.000 0.000 0.500
2 Tc 0.755 0.755 0.187
3 Tc 0.245 0.245 0.813
4 P 0.500 0.500 0.000

Properties
formation enthalpy at 0 K = 219 meV/atom
spin magnetization = 0.0 μB/f.u.
crystal system = monoclinic

=====

> What is the formula in the third record?

Tc2AgP